a:
The following is a GGA-PBE calculation of a relaxed MnInTeN2 crystal, from Alexandria via LeMat-Bulk.

abc: 3.8976 3.8976 5.7245
angles: 90.00 90.00 90.00
With the nearest neighbours (Å) after each atom.
Positions (direct):
1 Te 0.0000 0.0000 0.5000  4 In 2.76, 2 Mn 2.86
2 N 0.5000 0.0000 0.0000  2 Mn 1.95
3 N 0.0000 0.5000 0.0000  2 Mn 1.95
4 Mn 0.0000 0.0000 0.0000  4 N 1.95
5 In 0.5000 0.5000 0.5000  4 Te 2.76

- SG = P4/mmm (123)

=====

b:
The following is a GGA-PBE calculation of a relaxed MnInTeN2 crystal, from Alexandria via LeMat-Bulk.

abc: 4.1050 4.1050 6.6284
angles: 90.00 90.00 90.00
With the nearest neighbours (Å) after each atom.
Positions (direct):
1 Mn 0.5000 0.5000 0.5000  4 Te 2.90
2 Te 0.0000 0.0000 0.5000  4 Mn 2.90
3 N 0.0000 0.5000 0.0000  2 In 2.05
4 In 0.0000 0.0000 0.0000  4 N 2.05
5 N 0.5000 0.0000 0.0000  2 In 2.05

- SG = P4/mmm (123)

=====

Result of the stability comparison: b is the least stable of them.